Record 1
Density functional theory data (PBE) for an optimized crystal structure of ThZn.

a b c (Å): 7.2870 5.3047 7.7706
angles (deg): 90.00 103.87 90.00
Space group P2_1/m (No. 11)
Unique sites:
Th 0.0477 0.2500 0.1680 (multiplicity 2)
Th 0.2176 0.2500 0.7586 (multiplicity 2)
Th 0.3119 0.7500 0.1815 (multiplicity 2)
Zn 0.1805 0.7500 0.5249 (multiplicity 2)
Zn 0.4310 0.2500 0.4431 (multiplicity 2)
Zn 0.4669 0.7500 0.8513 (multiplicity 2)

As for the calculated density: 10.16 g/cm³. The calculation puts the formation enthalpy at 0 K at -0.024 eV/atom.

***

Record 2
Density functional theory data (PBE) for an optimized crystal structure of LiHf2Ge2.

a b c (Å): 13.3235 5.8032 5.7307
angles (deg): 90.00 90.00 90.00
Space group Cmcm (No. 63)
Unique sites:
Li 0.0000 0.0042 0.2500 (multiplicity 4)
Hf 0.1106 0.5000 0.0000 (multiplicity 8)
Ge 0.2375 0.2134 0.2500 (multiplicity 8)

As for the calculated density: 7.63 g/cm³.

***

Record 3
Density functional theory data (PBE) for an optimized crystal structure of NbAlTc.

a b c (Å): 3.2442 3.2442 9.0999
angles (deg): 90.00 90.00 90.00
Space group I4mm (No. 107)
Unique sites:
Nb 0.0000 0.0000 0.0000 (multiplicity 2)
Al 0.0000 0.0000 0.6852 (multiplicity 2)
Tc 0.0000 0.0000 0.3468 (multiplicity 2)

For the energy relative to the lowest polymorph listed for this composition, the calculation gives 0.24 eV/f.u. As for the calculated density: 7.56 g/cm³.

***

Record 4
Density functional theory data (PBE) for an optimized crystal structure of Nb2GaFe.

a b c (Å): 6.2668 6.2668 6.2668
angles (deg): 90.00 90.00 90.00
Space group F-43m (No. 216)
Unique sites:
Nb 0.0000 0.0000 0.0000 (multiplicity 4)
Nb 0.2500 0.2500 0.2500 (multiplicity 4)
Ga 0.0000 0.0000 0.5000 (multiplicity 4)
Fe 0.2500 0.2500 0.7500 (multiplicity 4)

As for the calculated density: 8.40 g/cm³.

***

In order of appearance, E_tot = -4.363, -6.146, -8.403, -7.801 eV/atom.
In order of appearance, total magnetization = 0.009, 0.005, 0.121, 11.261 Bohr magnetons per cell.